[1]
# PdPtCl | Alexandria via LeMat-Bulk | PBE-GGA | relaxed
data_PdPtCl
_cell_length_a 12.149
_cell_length_b 3.077
_cell_length_c 5.816
_cell_angle_alpha 90.00
_cell_angle_beta 90.00
_cell_angle_gamma 90.00
_symmetry_space_group_name_H-M 'A m m 2'
_symmetry_Int_Tables_number 38
loop_
_symmetry_equiv_pos_as_xyz
'x,y,z'
'-x,-y,z'
'-x,y,z'
'x,-y,z'
'x,y+1/2,z+1/2'
'-x,-y+1/2,z+1/2'
'-x,y+1/2,z+1/2'
'x,-y+1/2,z+1/2'
loop_
_atom_site_label
_atom_site_type_symbol
_atom_site_fract_x
_atom_site_fract_y
_atom_site_fract_z
Pd1 Pd 0.000 0.000 0.000
Pd2 Pd 0.500 0.000 0.244
Pt1 Pt 0.346 0.000 0.567
Cl1 Cl 0.190 0.000 0.951
# density of states at the Fermi level	1.71	states/eV/f.u.
# crystal system	orthorhombic
# formation energy without anion corrections	255	meV per atom

***

[2]
# In2RuPbO8 | Alexandria via LeMat-Bulk | PBE-GGA | relaxed
data_In2RuPbO8
_cell_length_a 4.867
_cell_length_b 6.696
_cell_length_c 4.874
_cell_angle_alpha 90.00
_cell_angle_beta 91.30
_cell_angle_gamma 90.00
_symmetry_space_group_name_H-M 'P 1 2/m 1'
_symmetry_Int_Tables_number 10
loop_
_symmetry_equiv_pos_as_xyz
'x,y,z'
'-x,-y,-z'
'-x,y,-z'
'x,-y,z'
loop_
_atom_site_label
_atom_site_type_symbol
_atom_site_fract_x
_atom_site_fract_y
_atom_site_fract_z
In1 In 0.000 0.245 0.000
Ru1 Ru 0.500 0.000 0.500
Pb1 Pb 0.500 0.500 0.500
O1 O 0.190 0.500 0.188
O2 O 0.220 0.000 0.219
O3 O 0.313 0.217 0.685
# density of states at the Fermi level	4.57	states/eV/f.u.
# crystal system	monoclinic
# formation energy without anion corrections	-1066	meV per atom

***

[3]
# CeSmEr2Se6 | Alexandria via LeMat-Bulk | PBE-GGA | relaxed
data_CeSmEr2Se6
_cell_length_a 7.3017
_cell_length_b 7.3017
_cell_length_c 19.9104
_cell_angle_alpha 90.00
_cell_angle_beta 90.00
_cell_angle_gamma 120.00
_symmetry_space_group_name_H-M 'R 3'
_symmetry_Int_Tables_number 146
_symmetry_space_group_name_Hall 'R 3'
loop_
_atom_site_label
_atom_site_type_symbol
_atom_site_fract_x
_atom_site_fract_y
_atom_site_fract_z
Ce1 Ce 0.0000 0.0000 0.0000
Sm1 Sm 0.0000 0.0000 0.3815
Er1 Er 0.0000 0.0000 0.1918
Er2 Er 0.0000 0.0000 0.6930
Se1 Se 0.0116 0.3809 0.9467
Se2 Se 0.0407 0.6939 0.7702
# density of states at the Fermi level	5.08	states/eV/f.u.
# crystal system	trigonal
# formation energy without anion corrections	-1825	meV per atom

***

[4]
# BeFeSeBr2 | Alexandria via LeMat-Bulk | PBE-GGA | relaxed
data_BeFeSeBr2
_cell_length_a 4.641
_cell_length_b 4.641
_cell_length_c 5.013
_cell_angle_alpha 90.00
_cell_angle_beta 90.00
_cell_angle_gamma 90.00
_symmetry_space_group_name_H-M 'P 4/m m m'
_symmetry_Int_Tables_number 123
_symmetry_space_group_name_Hall '-P 4 2'
loop_
_atom_site_label
_atom_site_type_symbol
_atom_site_fract_x
_atom_site_fract_y
_atom_site_fract_z
Be1 Be 0.000 0.000 0.000
Fe1 Fe 0.500 0.500 0.500
Se1 Se 0.000 0.000 0.500
Br1 Br 0.000 0.500 0.000
# density of states at the Fermi level	3.28	states/eV/f.u.
# crystal system	tetragonal
# formation energy without anion corrections	361	meV per atom

***

[5]
# NaHfNbSnO6 | Alexandria via LeMat-Bulk | PBE-GGA | relaxed
data_NaHfNbSnO6
_cell_length_a 8.158
_cell_length_b 8.158
_cell_length_c 8.158
_cell_angle_alpha 90.00
_cell_angle_beta 90.00
_cell_angle_gamma 90.00
_symmetry_space_group_name_H-M 'F -4 3 m'
_symmetry_Int_Tables_number 216
_symmetry_space_group_name_Hall 'F -4 2 3'
loop_
_atom_site_label
_atom_site_type_symbol
_atom_site_fract_x
_atom_site_fract_y
_atom_site_fract_z
Na1 Na 0.000 0.000 0.000
Hf1 Hf 0.250 0.250 0.750
Nb1 Nb 0.250 0.250 0.250
Sn1 Sn 0.000 0.000 0.500
O1 O 0.004 0.250 0.250
# density of states at the Fermi level	0.00	states/eV/f.u.
# crystal system	cubic
# formation energy without anion corrections	-2414	meV per atom

***

[6]
# La4SmGe2 | Alexandria via LeMat-Bulk | PBE-GGA | relaxed
data_La4SmGe2
_cell_length_a 8.337
_cell_length_b 6.514
_cell_length_c 8.351
_cell_angle_alpha 90.00
_cell_angle_beta 110.89
_cell_angle_gamma 90.00
_symmetry_space_group_name_H-M 'P 1 21/m 1'
_symmetry_Int_Tables_number 11
loop_
_symmetry_equiv_pos_as_xyz
'x,y,z'
'-x,-y,-z'
'-x,y+1/2,-z'
'x,-y+1/2,z'
loop_
_atom_site_label
_atom_site_type_symbol
_atom_site_fract_x
_atom_site_fract_y
_atom_site_fract_z
La1 La 0.004 0.250 0.397
La2 La 0.234 0.750 0.355
La3 La 0.412 0.012 0.764
Sm1 Sm 0.147 0.250 0.019
Ge1 Ge 0.237 0.750 0.994
Ge2 Ge 0.364 0.250 0.400
# density of states at the Fermi level	9.01	states/eV/f.u.
# crystal system	monoclinic
# calculated formation energy	-0.481	eV per atom

***

[7]
# Pr5ZnHg4 | Alexandria via LeMat-Bulk | PBE-GGA | relaxed
data_Pr5ZnHg4
_cell_length_a 3.827
_cell_length_b 3.827
_cell_length_c 19.246
_cell_angle_alpha 90.00
_cell_angle_beta 90.00
_cell_angle_gamma 90.00
_symmetry_space_group_name_H-M 'P 4/m m m'
_symmetry_Int_Tables_number 123
_symmetry_space_group_name_Hall '-P 4 2'
loop_
_atom_site_label
_atom_site_type_symbol
_atom_site_fract_x
_atom_site_fract_y
_atom_site_fract_z
Pr1 Pr 0.000 0.000 0.000
Pr2 Pr 0.000 0.000 0.203
Pr3 Pr 0.000 0.000 0.409
Zn1 Zn 0.500 0.500 0.500
Hg1 Hg 0.500 0.500 0.102
Hg2 Hg 0.500 0.500 0.307
# density of states at the Fermi level	11.05	states/eV/f.u.
# crystal system	tetragonal
# calculated formation energy	-0.437	eV per atom

***

[8]
# TlTcTeN2 | Alexandria via LeMat-Bulk | PBE-GGA | relaxed
data_TlTcTeN2
_cell_length_a 4.249
_cell_length_b 4.249
_cell_length_c 6.533
_cell_angle_alpha 90.00
_cell_angle_beta 90.00
_cell_angle_gamma 90.00
_symmetry_space_group_name_H-M 'P 4/m m m'
_symmetry_Int_Tables_number 123
_symmetry_space_group_name_Hall '-P 4 2'
loop_
_atom_site_label
_atom_site_type_symbol
_atom_site_fract_x
_atom_site_fract_y
_atom_site_fract_z
Tl1 Tl 0.000 0.000 0.000
Tc1 Tc 0.500 0.500 0.500
Te1 Te 0.000 0.000 0.500
N1 N 0.000 0.500 0.000
# density of states at the Fermi level	3.70	states/eV/f.u.
# crystal system	tetragonal
# formation energy without anion corrections	2226	meV per atom

***

[9]
# TlRePRh2 | Alexandria via LeMat-Bulk | PBE-GGA | relaxed
data_TlRePRh2
_cell_length_a 4.408
_cell_length_b 4.408
_cell_length_c 4.495
_cell_angle_alpha 90.00
_cell_angle_beta 90.00
_cell_angle_gamma 90.00
_symmetry_space_group_name_H-M 'P 4/m m m'
_symmetry_Int_Tables_number 123
_symmetry_space_group_name_Hall '-P 4 2'
loop_
_atom_site_label
_atom_site_type_symbol
_atom_site_fract_x
_atom_site_fract_y
_atom_site_fract_z
Tl1 Tl 0.000 0.000 0.000
Re1 Re 0.500 0.500 0.000
P1 P 0.500 0.500 0.500
Rh1 Rh 0.000 0.500 0.500
# density of states at the Fermi level	4.40	states/eV/f.u.
# crystal system	tetragonal
# calculated formation energy	0.314	eV per atom

***

[10]
# ErZr2Ga | Alexandria via LeMat-Bulk | PBE-GGA | relaxed
data_ErZr2Ga
_cell_length_a 3.1344
_cell_length_b 3.1344
_cell_length_c 33.1825
_cell_angle_alpha 90.00
_cell_angle_beta 90.00
_cell_angle_gamma 120.00
_symmetry_space_group_name_H-M 'R -3 m'
_symmetry_Int_Tables_number 166
_symmetry_space_group_name_Hall '-R 3 2"'
loop_
_atom_site_label
_atom_site_type_symbol
_atom_site_fract_x
_atom_site_fract_y
_atom_site_fract_z
Er1 Er 0.0000 0.0000 0.0000
Zr1 Zr 0.0000 0.0000 0.0955
Ga1 Ga 0.0000 0.0000 0.5000
# density of states at the Fermi level	5.89	states/eV/f.u.
# crystal system	trigonal
# calculated formation energy	0.120	eV per atom

***

[11]
# BeAlCd2 | Alexandria via LeMat-Bulk | PBE-GGA | relaxed
data_BeAlCd2
_cell_length_a 3.043
_cell_length_b 4.044
_cell_length_c 5.796
_cell_angle_alpha 90.00
_cell_angle_beta 90.00
_cell_angle_gamma 90.00
_symmetry_space_group_name_H-M 'P m m m'
_symmetry_Int_Tables_number 47
loop_
_symmetry_equiv_pos_as_xyz
'x,y,z'
'-x,-y,-z'
'-x,-y,z'
'x,y,-z'
'x,-y,-z'
'-x,y,z'
'-x,y,-z'
'x,-y,z'
loop_
_atom_site_label
_atom_site_type_symbol
_atom_site_fract_x
_atom_site_fract_y
_atom_site_fract_z
Be1 Be 0.000 0.000 0.000
Al1 Al 0.000 0.000 0.500
Cd1 Cd 0.500 0.500 0.240
# density of states at the Fermi level	1.34	states/eV/f.u.
# crystal system	orthorhombic
# calculated formation energy	0.382	eV per atom

***

[12]
# NaBS4O14 | Alexandria via LeMat-Bulk | PBE-GGA | relaxed
data_NaBS4O14
_cell_length_a 11.345
_cell_length_b 8.855
_cell_length_c 12.975
_cell_angle_alpha 90.00
_cell_angle_beta 109.39
_cell_angle_gamma 90.00
_symmetry_space_group_name_H-M 'P 1 21/c 1'
_symmetry_Int_Tables_number 14
loop_
_symmetry_equiv_pos_as_xyz
'x,y,z'
'-x,-y,-z'
'-x,y+1/2,-z+1/2'
'x,-y+1/2,z+1/2'
loop_
_atom_site_label
_atom_site_type_symbol
_atom_site_fract_x
_atom_site_fract_y
_atom_site_fract_z
Na1 Na 0.200 0.232 0.067
B1 B 0.261 0.727 0.329
S1 S 0.088 0.609 0.673
S2 S 0.124 0.595 0.905
S3 S 0.300 0.075 0.843
S4 S 0.456 0.628 0.274
O1 O 0.035 0.146 0.895
O2 O 0.040 0.713 0.909
O3 O 0.075 0.520 0.781
O4 O 0.144 0.032 0.475
O5 O 0.156 0.744 0.223
O6 O 0.165 0.513 0.633
O7 O 0.230 0.120 0.734
O8 O 0.250 0.576 0.373
O9 O 0.253 0.658 0.908
O10 O 0.322 0.176 0.932
O11 O 0.385 0.749 0.317
O12 O 0.396 0.596 0.161
O13 O 0.414 0.161 0.183
O14 O 0.442 0.022 0.847
# density of states at the Fermi level	0.00	states/eV/f.u.
# crystal system	monoclinic
# formation energy without anion corrections	-1424	meV per atom

***

[13]
# CuRuBr2 | Alexandria via LeMat-Bulk | PBE-GGA | relaxed
data_CuRuBr2
_cell_length_a 3.303
_cell_length_b 6.430
_cell_length_c 7.896
_cell_angle_alpha 90.00
_cell_angle_beta 90.00
_cell_angle_gamma 90.00
_symmetry_space_group_name_H-M 'I m m m'
_symmetry_Int_Tables_number 71
_symmetry_space_group_name_Hall '-I 2 2'
loop_
_atom_site_label
_atom_site_type_symbol
_atom_site_fract_x
_atom_site_fract_y
_atom_site_fract_z
Cu1 Cu 0.000 0.000 0.000
Ru1 Ru 0.000 0.000 0.500
Br1 Br 0.000 0.500 0.253
# density of states at the Fermi level	3.64	states/eV/f.u.
# crystal system	orthorhombic
# formation energy without anion corrections	617	meV per atom

***

[14]
# Dy5Co2I2 | Alexandria via LeMat-Bulk | PBE-GGA | relaxed
data_Dy5Co2I2
_cell_length_a 16.627
_cell_length_b 7.614
_cell_length_c 7.621
_cell_angle_alpha 90.00
_cell_angle_beta 90.00
_cell_angle_gamma 90.00
_symmetry_space_group_name_H-M 'C m c e'
_symmetry_Int_Tables_number 64
_symmetry_space_group_name_Hall '-C 2ac 2'
loop_
_atom_site_label
_atom_site_type_symbol
_atom_site_fract_x
_atom_site_fract_y
_atom_site_fract_z
Dy1 Dy 0.000 0.000 0.000
Dy2 Dy 0.103 0.155 0.345
Co1 Co 0.000 0.141 0.640
I1 I 0.214 0.000 0.000
# density of states at the Fermi level	7.90	states/eV/f.u.
# crystal system	orthorhombic
# formation energy without anion corrections	-493	meV per atom

***

[15]
# Ba2CuPbO6 | Alexandria via LeMat-Bulk | PBE-GGA | relaxed
data_Ba2CuPbO6
_cell_length_a 4.237
_cell_length_b 4.237
_cell_length_c 8.248
_cell_angle_alpha 90.00
_cell_angle_beta 90.00
_cell_angle_gamma 90.00
_symmetry_space_group_name_H-M 'P 4/m m m'
_symmetry_Int_Tables_number 123
_symmetry_space_group_name_Hall '-P 4 2'
loop_
_atom_site_label
_atom_site_type_symbol
_atom_site_fract_x
_atom_site_fract_y
_atom_site_fract_z
Ba1 Ba 0.000 0.000 0.230
Cu1 Cu 0.500 0.500 0.000
Pb1 Pb 0.500 0.500 0.500
O1 O 0.000 0.500 0.000
O2 O 0.000 0.500 0.500
O3 O 0.500 0.500 0.229
# density of states at the Fermi level	5.95	states/eV/f.u.
# crystal system	tetragonal
# formation energy without anion corrections	-1428	meV per atom

***

[16]
# CdFeHPt2 | Alexandria via LeMat-Bulk | PBE-GGA | relaxed
data_CdFeHPt2
_cell_length_a 4.045
_cell_length_b 4.045
_cell_length_c 4.034
_cell_angle_alpha 90.00
_cell_angle_beta 90.00
_cell_angle_gamma 90.00
_symmetry_space_group_name_H-M 'P 4/m m m'
_symmetry_Int_Tables_number 123
_symmetry_space_group_name_Hall '-P 4 2'
loop_
_atom_site_label
_atom_site_type_symbol
_atom_site_fract_x
_atom_site_fract_y
_atom_site_fract_z
Cd1 Cd 0.000 0.000 0.000
Fe1 Fe 0.500 0.500 0.000
H1 H 0.500 0.500 0.500
Pt1 Pt 0.000 0.500 0.500
# density of states at the Fermi level	4.20	states/eV/f.u.
# total DFT energy (no corrections)	-25.0	eV per cell
# crystal system	tetragonal

***

[17]
# ScAlIr4 | Alexandria via LeMat-Bulk | PBE-GGA | relaxed
data_ScAlIr4
_cell_length_a 7.346
_cell_length_b 7.346
_cell_length_c 7.346
_cell_angle_alpha 90.00
_cell_angle_beta 90.00
_cell_angle_gamma 90.00
_symmetry_space_group_name_H-M 'F -4 3 m'
_symmetry_Int_Tables_number 216
_symmetry_space_group_name_Hall 'F -4 2 3'
loop_
_atom_site_label
_atom_site_type_symbol
_atom_site_fract_x
_atom_site_fract_y
_atom_site_fract_z
Sc1 Sc 0.000 0.000 0.000
Al1 Al 0.250 0.250 0.750
Ir1 Ir 0.125 0.125 0.375
# density of states at the Fermi level	6.82	states/eV/f.u.
# crystal system	cubic
# calculated formation energy	-0.372	eV per atom

***

[18]
# BaLi2ZrTc | Alexandria via LeMat-Bulk | PBE-GGA | relaxed
data_BaLi2ZrTc
_cell_length_a 4.893
_cell_length_b 4.893
_cell_length_c 5.282
_cell_angle_alpha 90.00
_cell_angle_beta 90.00
_cell_angle_gamma 90.00
_symmetry_space_group_name_H-M 'P 4/m m m'
_symmetry_Int_Tables_number 123
_symmetry_space_group_name_Hall '-P 4 2'
loop_
_atom_site_label
_atom_site_type_symbol
_atom_site_fract_x
_atom_site_fract_y
_atom_site_fract_z
Ba1 Ba 0.000 0.000 0.000
Li1 Li 0.000 0.500 0.500
Zr1 Zr 0.500 0.500 0.000
Tc1 Tc 0.000 0.000 0.500
# density of states at the Fermi level	10.26	states/eV/f.u.
# crystal system	tetragonal
# calculated formation energy	1.318	eV per atom

***

[19]
# Y6PdBr10 | Alexandria via LeMat-Bulk | PBE-GGA | relaxed
data_Y6PdBr10
_cell_length_a 7.367
_cell_length_b 9.220
_cell_length_c 9.272
_cell_angle_alpha 107.52
_cell_angle_beta 96.60
_cell_angle_gamma 104.69
_symmetry_space_group_name_H-M 'P -1'
_symmetry_Int_Tables_number 2
loop_
_symmetry_equiv_pos_as_xyz
'x,y,z'
'-x,-y,-z'
loop_
_atom_site_label
_atom_site_type_symbol
_atom_site_fract_x
_atom_site_fract_y
_atom_site_fract_z
Y1 Y 0.034 0.199 0.406
Y2 Y 0.128 0.547 0.251
Y3 Y 0.361 0.635 0.679
Pd1 Pd 0.000 0.500 0.500
Br1 Br 0.088 0.872 0.327
Br2 Br 0.224 0.246 0.154
Br3 Br 0.248 0.579 0.957
Br4 Br 0.344 0.951 0.772
Br5 Br 0.454 0.322 0.587
# crystal system	triclinic
# formation energy without anion corrections	-1577	meV per atom

***

[20]
# LaSb2Os | Alexandria via LeMat-Bulk | PBE-GGA | relaxed
data_LaSb2Os
_cell_length_a 3.421
_cell_length_b 3.928
_cell_length_c 7.165
_cell_angle_alpha 90.00
_cell_angle_beta 90.00
_cell_angle_gamma 90.00
_symmetry_space_group_name_H-M 'P m m 2'
_symmetry_Int_Tables_number 25
loop_
_symmetry_equiv_pos_as_xyz
'x,y,z'
'-x,-y,z'
'-x,y,z'
'x,-y,z'
loop_
_atom_site_label
_atom_site_type_symbol
_atom_site_fract_x
_atom_site_fract_y
_atom_site_fract_z
La1 La 0.000 0.000 0.000
Sb1 Sb 0.000 0.000 0.445
Sb2 Sb 0.500 0.500 0.708
Os1 Os 0.500 0.500 0.305
# density of states at the Fermi level	3.95	states/eV/f.u.
# crystal system	orthorhombic
# formation energy without anion corrections	-1	meV per atom